{
  "formula": "Cr2Ni2Ir",
  "functional": "PBE-GGA",
  "state": "optimized geometry",
  "lattice_angstrom": [[6.734, 0.000, 0.000], [0.000, 6.734, 0.000], [0.000, 0.000, 2.687]],
  "species": ["Cr", "Cr", "Cr", "Cr", "Ni", "Ni", "Ni", "Ni", "Ir", "Ir"],
  "fractional_positions": [[0.110, 0.390, 0.000], [0.390, 0.890, 0.000], [0.610, 0.110, 0.000], [0.890, 0.610, 0.000], [0.183, 0.683, 0.500], [0.317, 0.183, 0.500], [0.683, 0.817, 0.500], [0.817, 0.317, 0.500], [0.000, 0.000, 0.000], [0.500, 0.500, 0.000]],
  "e_above_lowest_polymorph_mev_per_atom": 246,
  "delta_e_f_mev_per_atom": 262
}

---

{
  "formula": "TbY2",
  "functional": "PBE-GGA",
  "state": "optimized geometry",
  "lattice_angstrom": [[7.561, -2.519, 0.000], [7.561, 2.519, 0.000], [-0.004, 0.000, 5.051]],
  "species": ["Tb", "Tb", "Y", "Y", "Y", "Y"],
  "fractional_positions": [[0.083, 0.083, 0.250], [0.917, 0.917, 0.750], [0.250, 0.250, 0.750], [0.417, 0.417, 0.250], [0.583, 0.583, 0.750], [0.750, 0.750, 0.250]],
  "e_above_lowest_polymorph_mev_per_atom": 0,
  "delta_e_f_mev_per_atom": 21
}

---

{
  "formula": "La2NpSe4",
  "functional": "PBE-GGA",
  "state": "optimized geometry",
  "lattice_angstrom": [[2.073, -7.122, 0.000], [2.073, 7.122, 0.000], [0.000, 0.000, 14.080]],
  "species": ["La", "La", "La", "La", "Np", "Np", "Se", "Se", "Se", "Se", "Se", "Se", "Se", "Se"],
  "fractional_positions": [[0.132, 0.868, 0.572], [0.132, 0.868, 0.928], [0.868, 0.132, 0.072], [0.868, 0.132, 0.428], [0.376, 0.624, 0.750], [0.624, 0.376, 0.250], [0.021, 0.979, 0.750], [0.223, 0.777, 0.127], [0.223, 0.777, 0.373], [0.500, 0.500, 0.000], [0.500, 0.500, 0.500], [0.777, 0.223, 0.627], [0.777, 0.223, 0.873], [0.979, 0.021, 0.250]],
  "formation_energy_uncorrected_ev_per_atom": -1.657
}

---

{
  "formula": "LaHgMo2",
  "functional": "PBE-GGA",
  "state": "optimized geometry",
  "lattice_angstrom": [[4.129, -1.603, 0.000], [4.129, 1.603, 0.000], [-0.969, 0.000, 7.018]],
  "species": ["La", "Hg", "Mo", "Mo"],
  "fractional_positions": [[0.000, 0.000, 0.000], [0.757, 0.757, 0.334], [0.234, 0.234, 0.715], [0.499, 0.499, 0.579]],
  "delta_e_f_mev_per_atom": 427
}

---

{
  "formula": "La8AgP3I4",
  "functional": "PBE-GGA",
  "state": "optimized geometry",
  "lattice_angstrom": [[4.349, 2.511, 7.758], [-4.349, 2.511, 7.758], [0.000, -5.022, 7.758]],
  "species": ["La", "La", "La", "La", "La", "La", "La", "La", "Ag", "P", "P", "P", "I", "I", "I", "I"],
  "fractional_positions": [[0.217, 0.744, 0.744], [0.231, 0.231, 0.231], [0.256, 0.256, 0.783], [0.256, 0.783, 0.256], [0.744, 0.217, 0.744], [0.744, 0.744, 0.217], [0.769, 0.769, 0.769], [0.783, 0.256, 0.256], [0.500, 0.500, 0.500], [0.000, 0.000, 0.500], [0.000, 0.500, 0.000], [0.500, 0.000, 0.000], [0.000, 0.000, 0.000], [0.000, 0.500, 0.500], [0.500, 0.000, 0.500], [0.500, 0.500, 0.000]],
  "formation_energy_uncorrected_ev_per_atom": -1.215
}

---

{
  "formula": "HfZn2Br",
  "functional": "PBE-GGA",
  "state": "optimized geometry",
  "lattice_angstrom": [[-3.941, 3.941, 2.700], [3.941, -3.941, 2.700], [3.941, 3.941, -2.700]],
  "species": ["Hf", "Hf", "Zn", "Zn", "Zn", "Zn", "Br", "Br"],
  "fractional_positions": [[0.000, 0.000, 0.000], [0.750, 0.250, 0.500], [0.114, 0.625, 0.989], [0.375, 0.364, 0.489], [0.636, 0.125, 0.011], [0.875, 0.886, 0.511], [0.250, 0.750, 0.500], [0.500, 0.500, 0.000]],
  "formation_energy_uncorrected_ev_per_atom": 0.230,
  "e_above_lowest_polymorph_mev_per_atom": 0
}

---

| no. | M_tot (μB/f.u.) |
| --- | --- |
| 1 | 0.0 |
| 2 | 0.0 |
| 3 | 4.4 |
| 4 | 0.0 |
| 5 | 0.0 |
| 6 | 0.0 |